[1]
Entry from the Alexandria database: KYBrF2 after structural relaxation (GGA-PBE).

a = 4.450 Å, b = 4.450 Å, c = 7.098 Å
α = 90.00°, β = 90.00°, γ = 90.00°
Sites, in units of the cell vectors:
F: 0.000 0.500 0.000
K: 0.500 0.500 0.500
F: 0.500 0.000 0.000
Br: 0.000 0.000 0.500
Y: 0.000 0.000 0.000

Uncorrected formation energy, eV/atom: -2.59
Space-group type: No. 123

***

[2]
Entry from the Alexandria database: K2ZnBr2F2 after structural relaxation (GGA-PBE).

a = 4.474 Å, b = 4.474 Å, c = 8.590 Å
α = 105.09°, β = 105.09°, γ = 90.00°
Sites, in units of the cell vectors:
F: 0.500 0.000 0.000
Br: 0.843 0.843 0.685
Br: 0.157 0.157 0.315
K: 0.614 0.614 0.228
F: 0.000 0.500 0.000
K: 0.386 0.386 0.772
Zn: 0.000 0.000 0.000

Uncorrected formation energy, eV/atom: -1.97
Space-group type: No. 139

***

[3]
Entry from the Alexandria database: K2ZrBr4F2 after structural relaxation (GGA-PBE).

a = 5.936 Å, b = 7.064 Å, c = 7.064 Å
α = 66.20°, β = 78.08°, γ = 78.08°
Sites, in units of the cell vectors:
K: 0.171 0.680 0.680
K: 0.829 0.320 0.320
F: 0.226 0.140 0.140
Br: 0.698 0.349 0.848
Br: 0.698 0.848 0.349
Zr: 0.500 0.000 0.000
Br: 0.302 0.651 0.152
Br: 0.302 0.152 0.651
F: 0.774 0.860 0.860

Uncorrected formation energy, eV/atom: -2.16
Space-group type: No. 12

***

[4]
Entry from the Alexandria database: K2ZrBrF after structural relaxation (GGA-PBE).

a = 6.495 Å, b = 5.195 Å, c = 6.495 Å
α = 90.00°, β = 90.00°, γ = 90.00°
Sites, in units of the cell vectors:
F: 0.500 0.500 0.500
Br: 0.000 0.000 0.000
K: 0.500 0.000 0.000
K: 0.000 0.000 0.500
Zr: 0.000 0.500 0.000

Uncorrected formation energy, eV/atom: -0.39
Space-group type: No. 123

***

[5]
Entry from the Alexandria database: KZrBr2F after structural relaxation (GGA-PBE).

a = 5.628 Å, b = 4.338 Å, c = 5.628 Å
α = 90.00°, β = 90.00°, γ = 90.00°
Sites, in units of the cell vectors:
Zr: 0.500 0.500 0.500
F: 0.000 0.000 0.000
Br: 0.000 0.000 0.500
K: 0.000 0.500 0.000
Br: 0.500 0.000 0.000

Uncorrected formation energy, eV/atom: -0.49
Space-group type: No. 123

***

[6]
Entry from the Alexandria database: LaBr2F after structural relaxation (GGA-PBE).

a = 5.057 Å, b = 5.057 Å, c = 5.057 Å
α = 60.00°, β = 60.00°, γ = 60.00°
Sites, in units of the cell vectors:
La: 0.500 0.500 0.500
Br: 0.750 0.750 0.750
Br: 0.250 0.250 0.250
F: 0.000 0.000 0.000

Uncorrected formation energy, eV/atom: -2.16
Polymorph energy (0 for the lowest one), meV per atom: 586
Space-group type: No. 225

***

[7]
Entry from the Alexandria database: LaBrF3 after structural relaxation (GGA-PBE).

a = 4.728 Å, b = 4.728 Å, c = 4.728 Å
α = 90.00°, β = 90.00°, γ = 90.00°
Sites, in units of the cell vectors:
F: 0.000 0.500 0.000
F: 0.500 0.000 0.000
La: 0.000 0.000 0.000
Br: 0.500 0.500 0.500
F: 0.000 0.000 0.500

Uncorrected formation energy, eV/atom: -2.99
Polymorph energy (0 for the lowest one), meV per atom: 0
Space-group type: No. 221

***

[8]
Entry from the Alexandria database: La2Br2F after structural relaxation (GGA-PBE).

a = 7.195 Å, b = 7.195 Å, c = 5.145 Å
α = 90.00°, β = 90.00°, γ = 90.00°
Sites, in units of the cell vectors:
F: 0.500 0.500 0.000
La: 0.330 0.830 0.000
F: 0.000 0.000 0.000
Br: 0.334 0.166 0.500
La: 0.170 0.330 0.000
La: 0.670 0.170 0.000
Br: 0.834 0.334 0.500
Br: 0.666 0.834 0.500
Br: 0.166 0.666 0.500
La: 0.830 0.670 0.000

Uncorrected formation energy, eV/atom: -1.96
Space-group type: No. 127

***

Looking at calculated density for the records above, in order, we have 2.905; 3.547; 3.332; 2.033; 3.736; 5.771; 4.334; 5.695 g/cm3.